(1)
Material: Tb3Y5Ho
Method: DFT, PBE
State: relaxed

extended XYZ file:
```
18
Lattice="3.334 8.169 0.338 -3.334 8.169 0.338 0.000 3.158 10.966" Properties=species:S:1:pos:R:3 pbc="T T T"
Y -0.814 14.084 7.598
Y 0.034 8.128 6.238
Y 0.814 12.505 2.115
Y 0.034 12.947 10.887
Y -1.229 8.959 3.080
Tb -0.785 16.239 10.163
Y -0.034 11.368 5.404
Tb 0.785 14.660 4.680
Y 1.229 10.538 8.563
Tb 0.785 3.257 1.479
Tb 0.000 0.000 0.000
Y -0.034 6.549 0.755
Y -0.814 6.991 9.527
Tb -0.785 4.836 6.962
Ho 1.820 8.959 3.080
Ho -1.820 10.538 8.563
Tb 0.000 1.579 5.483
Y 0.814 5.412 4.044
```

Magnetic moment in μB per formula unit: 0.0
V in Å³ per cell: 590.3
E_form in eV/atom: 0.1734
E above lowest polymorph in meV per atom: 123

(2)
Material: Ba4PaO7
Method: DFT, PBE
State: relaxed

extended XYZ file:
```
12
Lattice="4.399 0.000 0.000 2.200 7.758 -0.226 2.200 0.190 7.341" Properties=species:S:1:pos:R:3 pbc="T T T"
O 2.200 1.100 2.756
O 6.599 1.975 6.507
O 2.200 0.000 0.000
Ba 4.399 6.142 2.996
Pa 0.000 0.000 0.000
O 2.200 5.973 0.607
O 6.599 6.848 4.359
Ba 2.200 2.956 1.014
Ba 4.399 1.806 4.119
O 4.399 4.318 5.098
O 4.399 3.630 2.016
Ba 6.599 4.992 6.101
```

Magnetic moment in μB per formula unit: 1.1
V in Å³ per cell: 250.7
Energy relative to the elements, uncorrected in eV/atom: -2.532